Here is a geometry-optimized Pm3AsP2Rh9 structure from Alexandria via LeMat-Bulk. Energies are from PBE.

Cell: 6.140 6.140 8.624 Å, 90.00 90.00 120.00°
Atoms (fractional coordinates):
Pm (0.000, 0.000, 0.000)
Pm (0.333, 0.667, 0.676)
Pm (0.667, 0.333, 0.324)
As (0.000, 0.000, 0.500)
P (0.333, 0.667, 0.167)
P (0.667, 0.333, 0.833)
Rh (0.000, 0.500, 0.000)
Rh (0.152, 0.304, 0.288)
Rh (0.152, 0.848, 0.288)
Rh (0.304, 0.152, 0.712)
Rh (0.500, 0.000, 0.000)
Rh (0.500, 0.500, 0.000)
Rh (0.696, 0.848, 0.288)
Rh (0.848, 0.152, 0.712)
Rh (0.848, 0.696, 0.712)

## Properties
energy relative to the elements	-679.2	meV per atom


Here is a geometry-optimized Ba3TmSb3 structure from Alexandria via LeMat-Bulk. Energies are from PBE.

Cell: 9.907 8.829 14.034 Å, 90.00 98.73 90.00°
Atoms (fractional coordinates):
Ba (0.095, 0.237, 0.083)
Ba (0.095, 0.263, 0.583)
Ba (0.212, 0.744, 0.220)
Ba (0.212, 0.756, 0.720)
Ba (0.401, 0.175, 0.880)
Ba (0.401, 0.325, 0.380)
Ba (0.599, 0.675, 0.620)
Ba (0.599, 0.825, 0.120)
Ba (0.788, 0.244, 0.280)
Ba (0.788, 0.256, 0.780)
Ba (0.905, 0.737, 0.417)
Ba (0.905, 0.763, 0.917)
Tm (0.322, 0.582, 0.961)
Tm (0.322, 0.918, 0.461)
Tm (0.678, 0.082, 0.539)
Tm (0.678, 0.418, 0.039)
Sb (0.102, 0.078, 0.339)
Sb (0.102, 0.422, 0.839)
Sb (0.244, 0.604, 0.494)
Sb (0.244, 0.896, 0.994)
Sb (0.433, 0.075, 0.643)
Sb (0.433, 0.425, 0.143)
Sb (0.567, 0.575, 0.857)
Sb (0.567, 0.925, 0.357)
Sb (0.756, 0.104, 0.006)
Sb (0.756, 0.396, 0.506)
Sb (0.898, 0.578, 0.161)
Sb (0.898, 0.922, 0.661)

## Properties
energy	-4.253	eV per atom


Here is a geometry-optimized Cd2SbOsF structure from Alexandria via LeMat-Bulk. Energies are from PBE.

Cell: 5.537 5.537 4.157 Å, 90.00 90.00 90.00°
Atoms (fractional coordinates):
Cd (0.000, 0.500, 0.000)
Cd (0.500, 0.000, 0.000)
Sb (0.000, 0.000, 0.000)
Os (0.500, 0.500, 0.500)
F (0.000, 0.000, 0.500)

## Properties
energy	-3.036	eV per atom


Here is a geometry-optimized NpBe2H6 structure from Alexandria via LeMat-Bulk. Energies are from PBE.

Cell: 4.034 4.034 4.236 Å, 90.00 90.00 120.00°
Atoms (fractional coordinates):
Np (0.000, 0.000, 0.000)
Be (0.333, 0.667, 0.500)
Be (0.667, 0.333, 0.500)
H (0.000, 0.500, 0.238)
H (0.000, 0.500, 0.762)
H (0.500, 0.000, 0.238)
H (0.500, 0.000, 0.762)
H (0.500, 0.500, 0.238)
H (0.500, 0.500, 0.762)

## Properties
energy above the lowest structure with this stoichiometry	0.000	eV per atom


Here is a geometry-optimized PPdPt3 structure from Alexandria via LeMat-Bulk. Energies are from PBE.

Cell: 4.808 4.808 4.808 Å, 90.00 90.00 90.00°
Atoms (fractional coordinates):
P (0.000, 0.000, 0.000)
Pd (0.500, 0.500, 0.500)
Pt (0.000, 0.500, 0.500)
Pt (0.500, 0.000, 0.500)
Pt (0.500, 0.500, 0.000)

## Properties
energy above the lowest structure with this stoichiometry	1.937	eV per atom
energy relative to the elements	1667.1	meV per atom


Here is a geometry-optimized Ce2AlGa3Au4 structure from Alexandria via LeMat-Bulk. Energies are from PBE.

Cell: 4.428 4.428 10.549 Å, 90.00 90.00 90.00°
Atoms (fractional coordinates):
Ce (0.000, 0.500, 0.247)
Ce (0.500, 0.000, 0.753)
Al (0.000, 0.000, 0.500)
Ga (0.000, 0.500, 0.866)
Ga (0.500, 0.000, 0.134)
Ga (0.500, 0.500, 0.500)
Au (0.000, 0.000, 0.000)
Au (0.000, 0.500, 0.628)
Au (0.500, 0.000, 0.372)
Au (0.500, 0.500, 0.000)

## Properties
energy relative to the elements	-615.8	meV per atom


Here is a geometry-optimized TlPdAu structure from Alexandria via LeMat-Bulk. Energies are from PBE.

Cell: 5.102 5.102 5.102 Å, 138.26 138.26 60.50°
Atoms (fractional coordinates):
Tl (0.000, 0.000, 0.000)
Pd (0.332, 0.332, 0.000)
Au (0.673, 0.673, 0.000)

## Properties
energy above the lowest structure with this stoichiometry	0.085	eV per atom
energy relative to the elements	-23.9	meV per atom


Here is a geometry-optimized SrErZnAg structure from Alexandria via LeMat-Bulk. Energies are from PBE.

Cell: 5.268 5.268 5.268 Å, 60.00 60.00 60.00°
Atoms (fractional coordinates):
Sr (0.000, 0.000, 0.000)
Er (0.500, 0.500, 0.500)
Zn (0.250, 0.250, 0.250)
Ag (0.750, 0.750, 0.750)

## Properties
energy relative to the elements	-187.1	meV per atom


Here is a geometry-optimized CsSrF3 structure from Alexandria via LeMat-Bulk. Energies are from PBE.

Cell: 8.855 8.855 8.855 Å, 60.00 60.00 60.00°
Atoms (fractional coordinates):
Cs (0.000, 0.000, 0.000)
Cs (0.000, 0.000, 0.500)
Cs (0.000, 0.500, 0.000)
Cs (0.500, 0.000, 0.000)
Sr (0.000, 0.500, 0.500)
Sr (0.500, 0.000, 0.500)
Sr (0.500, 0.500, 0.000)
Sr (0.500, 0.500, 0.500)
F (0.168, 0.168, 0.582)
F (0.168, 0.582, 0.168)
F (0.168, 0.582, 0.582)
F (0.418, 0.418, 0.832)
F (0.418, 0.832, 0.418)
F (0.418, 0.832, 0.832)
F (0.582, 0.168, 0.168)
F (0.582, 0.168, 0.582)
F (0.582, 0.582, 0.168)
F (0.832, 0.418, 0.418)
F (0.832, 0.418, 0.832)
F (0.832, 0.832, 0.418)

## Properties
energy above the lowest structure with this stoichiometry	0.056	eV per atom


Here is a geometry-optimized K2TaOs structure from Alexandria via LeMat-Bulk. Energies are from PBE.

Cell: 6.643 6.643 6.643 Å, 146.33 146.33 48.36°
Atoms (fractional coordinates):
K (0.250, 0.750, 0.500)
K (0.750, 0.250, 0.500)
Ta (0.000, 0.000, 0.000)
Os (0.500, 0.500, 0.000)

## Properties
energy above the lowest structure with this stoichiometry	0.603	eV per atom
energy relative to the elements	1202.8	meV per atom


Here is a geometry-optimized RbHgPb4 structure from Alexandria via LeMat-Bulk. Energies are from PBE.

Cell: 6.681 6.681 6.681 Å, 60.00 60.00 60.00°
Atoms (fractional coordinates):
Rb (0.000, 0.000, 0.000)
Hg (0.250, 0.250, 0.250)
Pb (0.126, 0.625, 0.625)
Pb (0.625, 0.126, 0.625)
Pb (0.625, 0.625, 0.126)
Pb (0.625, 0.625, 0.625)

## Properties
energy above the lowest structure with this stoichiometry	0.065	eV per atom
energy relative to the elements	33.2	meV per atom


Here is a geometry-optimized SrAgO2 structure from Alexandria via LeMat-Bulk. Energies are from PBE.

Cell: 4.255 4.255 3.419 Å, 90.00 90.00 90.00°
Atoms (fractional coordinates):
Sr (0.000, 0.000, 0.000)
Ag (0.500, 0.500, 0.500)
O (0.000, 0.500, 0.500)
O (0.500, 0.000, 0.500)

## Properties
energy	-5.070	eV per atom


Here is a geometry-optimized Th5FeBi3 structure from Alexandria via LeMat-Bulk. Energies are from PBE.

Cell: 9.671 9.671 6.490 Å, 90.00 90.00 120.00°
Atoms (fractional coordinates):
Th (0.000, 0.234, 0.250)
Th (0.000, 0.766, 0.750)
Th (0.234, 0.000, 0.250)
Th (0.234, 0.234, 0.750)
Th (0.333, 0.667, 0.000)
Th (0.333, 0.667, 0.500)
Th (0.667, 0.333, 0.000)
Th (0.667, 0.333, 0.500)
Th (0.766, 0.000, 0.750)
Th (0.766, 0.766, 0.250)
Fe (0.000, 0.000, 0.000)
Fe (0.000, 0.000, 0.500)
Bi (0.000, 0.397, 0.750)
Bi (0.000, 0.603, 0.250)
Bi (0.397, 0.000, 0.750)
Bi (0.397, 0.397, 0.250)
Bi (0.603, 0.000, 0.250)
Bi (0.603, 0.603, 0.750)

## Properties
energy relative to the elements	-468.9	meV per atom


Here is a geometry-optimized Hg2POs structure from Alexandria via LeMat-Bulk. Energies are from PBE.

Cell: 2.975 2.975 9.136 Å, 90.00 90.00 90.00°
Atoms (fractional coordinates):
Hg (0.000, 0.000, 0.000)
Hg (0.500, 0.500, 0.322)
P (0.500, 0.500, 0.690)
Os (0.000, 0.000, 0.563)

## Properties
energy relative to the elements	183.9	meV per atom


Here is a geometry-optimized Li2LaSmHg4 structure from Alexandria via LeMat-Bulk. Energies are from PBE.

Cell: 8.972 8.972 8.972 Å, 33.40 33.40 33.40°
Atoms (fractional coordinates):
Li (0.248, 0.248, 0.248)
Li (0.752, 0.752, 0.752)
La (0.000, 0.000, 0.000)
Sm (0.500, 0.500, 0.500)
Hg (0.127, 0.127, 0.127)
Hg (0.378, 0.378, 0.378)
Hg (0.622, 0.622, 0.622)
Hg (0.873, 0.873, 0.873)

## Properties
energy relative to the elements	-457.0	meV per atom


Here is a geometry-optimized SrLiCd structure from Alexandria via LeMat-Bulk. Energies are from PBE.

Cell: 6.601 6.540 9.023 Å, 90.00 112.48 90.00°
Atoms (fractional coordinates):
Sr (0.196, 0.130, 0.372)
Sr (0.196, 0.370, 0.872)
Sr (0.804, 0.630, 0.128)
Sr (0.804, 0.870, 0.628)
Li (0.408, 0.602, 0.300)
Li (0.408, 0.898, 0.800)
Li (0.592, 0.102, 0.200)
Li (0.592, 0.398, 0.700)
Cd (0.210, 0.635, 0.531)
Cd (0.210, 0.865, 0.031)
Cd (0.790, 0.135, 0.969)
Cd (0.790, 0.365, 0.469)

## Properties
energy above the lowest structure with this stoichiometry	0.000	eV per atom
energy relative to the elements	-220.8	meV per atom


Here is a geometry-optimized UNbNi4 structure from Alexandria via LeMat-Bulk. Energies are from PBE.

Cell: 4.904 4.904 4.904 Å, 60.00 60.00 60.00°
Atoms (fractional coordinates):
U (0.000, 0.000, 0.000)
Nb (0.250, 0.250, 0.250)
Ni (0.127, 0.624, 0.624)
Ni (0.624, 0.127, 0.624)
Ni (0.624, 0.624, 0.127)
Ni (0.624, 0.624, 0.624)

## Properties
energy relative to the elements	-155.0	meV per atom


Here is a geometry-optimized Ac3Ga9Ge2 structure from Alexandria via LeMat-Bulk. Energies are from PBE.

Cell: 8.868 8.868 8.868 Å, 150.36 110.91 76.94°
Atoms (fractional coordinates):
Ac (0.000, 0.000, 0.000)
Ac (0.323, 0.323, 0.000)
Ac (0.677, 0.677, 0.000)
Ga (0.037, 0.669, 0.368)
Ga (0.119, 0.853, 0.266)
Ga (0.300, 0.669, 0.632)
Ga (0.413, 0.147, 0.266)
Ga (0.500, 0.000, 0.500)
Ga (0.587, 0.853, 0.734)
Ga (0.700, 0.331, 0.368)
Ga (0.881, 0.147, 0.734)
Ga (0.963, 0.331, 0.632)
Ge (0.270, 0.500, 0.770)
Ge (0.730, 0.500, 0.230)

## Properties
energy relative to the elements	-439.6	meV per atom


Here is a geometry-optimized LaFeRu2 structure from Alexandria via LeMat-Bulk. Energies are from PBE.

Cell: 9.006 9.006 9.006 Å, 150.85 150.85 41.69°
Atoms (fractional coordinates):
La (0.000, 0.000, 0.000)
La (0.750, 0.250, 0.500)
Fe (0.250, 0.750, 0.500)
Fe (0.500, 0.500, 0.000)
Ru (0.268, 0.625, 0.143)
Ru (0.375, 0.518, 0.643)
Ru (0.482, 0.125, 0.857)
Ru (0.875, 0.732, 0.357)

## Properties
energy above the lowest structure with this stoichiometry	0.412	eV per atom
energy relative to the elements	493.8	meV per atom


Here is a geometry-optimized ReSi2Pb structure from Alexandria via LeMat-Bulk. Energies are from PBE.

Cell: 9.249 9.249 9.249 Å, 19.18 19.18 19.18°
Atoms (fractional coordinates):
Re (0.000, 0.000, 0.000)
Si (0.467, 0.467, 0.467)
Si (0.729, 0.729, 0.729)
Pb (0.241, 0.241, 0.241)

## Properties
energy	-6.184	eV per atom